Computed, not measured: crystalline Na7TcN3 at its relaxed geometry at the PBE-GGA level of DFT.

Cell lengths 6.928, 6.928, 8.308 Å; angles 126.57, 126.57, 59.67 degrees
Fractional coordinates of all 11 atoms:
1 Na 0.000 0.000 0.000
2 Na 0.044 0.542 0.495
3 Na 0.121 0.625 0.166
4 Na 0.529 0.529 0.005
5 Na 0.542 0.044 0.495
6 Na 0.625 0.121 0.166
7 Na 0.633 0.633 0.661
8 Tc 0.191 0.191 0.669
9 N 0.076 0.076 0.375
10 N 0.081 0.521 0.808
11 N 0.521 0.081 0.808



Computed, not measured: crystalline NaTcN2 at its relaxed geometry at the PBE-GGA level of DFT.

Cell lengths 5.650, 5.650, 9.568 Å; angles 90.00, 90.00, 90.00 degrees
Fractional coordinates of all 16 atoms:
1 Na 0.000 0.250 0.375
2 Na 0.000 0.750 0.625
3 Na 0.500 0.250 0.125
4 Na 0.500 0.750 0.875
5 Tc 0.000 0.250 0.875
6 Tc 0.000 0.750 0.125
7 Tc 0.500 0.250 0.625
8 Tc 0.500 0.750 0.375
9 N 0.000 0.000 0.000
10 N 0.000 0.500 0.000
11 N 0.250 0.250 0.750
12 N 0.250 0.750 0.250
13 N 0.500 0.000 0.500
14 N 0.500 0.500 0.500
15 N 0.750 0.250 0.750
16 N 0.750 0.750 0.250



no.,D(E_F) (states/eV per cell),final energy (eV per atom),calculated volume (A^3/atom)
1,3.074,-4.090,22.74
2,7.071,-7.027,19.09